Compound: CeSnH
Source: Alexandria via LeMat-Bulk
Functional: PBE
Structure: relaxed

Properties
Space-group type = Cmcm, No. 63
E above lowest polymorph = 0 meV/atom
N(E_F) = 24.698 states/eV per cell

Cell: 4.3231 12.3600 4.4147 Å, 90.00 90.00 90.00°
Closest atoms and distances in Å follow each position.
Fractional positions:
Ce1 0.0000 0.1593 0.2500  4 H 2.42-2.49
Ce2 0.0000 0.8407 0.7500  4 H 2.42-2.49
Ce3 0.5000 0.3407 0.7500  4 H 2.42-2.49
Ce4 0.5000 0.6593 0.2500  4 H 2.42-2.49
Sn1 0.0000 0.4265 0.2500  2 Sn 2.86, 4 H 3.08-3.10
Sn2 0.0000 0.5735 0.7500  2 Sn 2.86, 4 H 3.08-3.10
Sn3 0.5000 0.0735 0.7500  2 Sn 2.86, 4 H 3.08-3.10
Sn4 0.5000 0.9265 0.2500  2 Sn 2.86, 4 H 3.08-3.10
H1 0.0000 0.2532 0.7500  4 Ce 2.42-2.49
H2 0.0000 0.7468 0.2500  4 Ce 2.42-2.49
H3 0.5000 0.2468 0.2500  4 Ce 2.42-2.49
H4 0.5000 0.7532 0.7500  4 Ce 2.42-2.49